[1]
## BeCrCl2 (PBE)

Data for a geometry-optimized BeCrCl2 structure.

Calculated values
Polymorph energy (0 for the lowest one) (meV per atom): 342
DOS at the Fermi energy (states/eV per cell): 1.46
Calculated volume (Å³ per atom): 22.82
Mass density (g/cm³): 2.40
SG: No. 122
Raw formation energy (eV/atom): 0.012

a = 6.3711 Å, b = 6.3711 Å, c = 6.3711 Å
α = 120.12°, β = 120.12°, γ = 89.79°
Closest atoms and distances in Å follow each position.
Fractional positions:
Be1 0.0000 0.0000 0.0000  4 Cl 2.06
Be2 0.7500 0.2500 0.5000  4 Cl 2.06
Cr1 0.2500 0.7500 0.5000  4 Cl 3.18
Cr2 0.5000 0.5000 0.0000  4 Cl 3.18
Cl1 0.3750 0.2304 0.3554  2 Be 2.06
Cl2 0.7696 0.1250 0.1446  2 Be 2.06
Cl3 0.8750 0.0196 0.6446  2 Be 2.06
Cl4 0.9804 0.6250 0.8554  2 Be 2.06

[2]
## BeCrCl2 (PBE)

Data for a geometry-optimized BeCrCl2 structure.

Calculated values
Polymorph energy (0 for the lowest one) (meV per atom): 578
DOS at the Fermi energy (states/eV per cell): 2.15
Calculated volume (Å³ per atom): 19.32
Mass density (g/cm³): 2.83
SG: No. 119
Raw formation energy (eV/atom): 0.249

a = 6.7032 Å, b = 6.7032 Å, c = 6.7032 Å
α = 149.52°, β = 149.52°, γ = 43.65°
Closest atoms and distances in Å follow each position.
Fractional positions:
Be1 0.0000 0.0000 0.0000  4 Cl 2.49
Cr1 0.7500 0.2500 0.5000  4 Cl 2.49
Cl1 0.2500 0.7500 0.5000  4 Cr 2.49
Cl2 0.5000 0.5000 0.0000  4 Be 2.49

[3]
## BeCrCl2 (PBE)

Data for a geometry-optimized BeCrCl2 structure.

Calculated values
Polymorph energy (0 for the lowest one) (meV per atom): 687
DOS at the Fermi energy (states/eV per cell): 0.79
Calculated volume (Å³ per atom): 17.16
Mass density (g/cm³): 3.19
SG: No. 225
Raw formation energy (eV/atom): 0.357

a = 4.5954 Å, b = 4.5954 Å, c = 4.5954 Å
α = 60.00°, β = 60.00°, γ = 60.00°
Closest atoms and distances in Å follow each position.
Fractional positions:
Be1 0.0000 0.0000 0.0000  8 Cl 2.81
Cr1 0.5000 0.5000 0.5000  8 Cl 2.81
Cl1 0.2500 0.2500 0.2500  4 Cr 2.81, 4 Be 2.81
Cl2 0.7500 0.7500 0.7500  4 Cr 2.81, 4 Be 2.81